This record from Alexandria via LeMat-Bulk describes a relaxed structure of Sc5GeS5. The functional is PBE.

## Properties
M_tot ... 0.00 μB/f.u.
Raw total energy ... -6.906 eV per atom
Calculated volume ... 19.9 A^3/atom
Space group ... C2/m, No. 12
D(E_F) ... 2.5 states/eV per cell
Formation energy from raw total energies ... -1.732 eV/atom

Lattice parameters (Å, degrees): 5.267 6.451 7.440 106.65 90.00 114.10
Fractional coordinates of all 11 atoms:
S: 0.000 0.000 0.500
Ge: 0.000 0.000 0.000
Sc: 0.834 0.668 0.661
Sc: 0.163 0.325 0.823
Sc: 0.500 0.000 0.000
S: 0.329 0.657 0.160
S: 0.331 0.663 0.666
Sc: 0.837 0.675 0.177
S: 0.669 0.337 0.334
Sc: 0.166 0.332 0.339
S: 0.671 0.343 0.840